Record 1
DFT (PBE-GGA) results for an optimized crystal structure of KSb2P.

```
4
Lattice="-1.189 5.385 -2.679 -5.077 0.422 -3.410 1.491 -1.993 5.603" Properties=species:S:1:pos:R:3 pbc="T T T"
K -3.360 0.666 -0.426
P -1.416 3.147 -0.060
Sb 0.000 0.000 0.000
Sb -3.133 2.903 -3.044
```

formation energy (no corrections): 0.28 eV/atom
final energy: -3.4064 eV/atom
crystal system: tetragonal

***

Record 2
DFT (PBE-GGA) results for an optimized crystal structure of CaHg14Pb.

```
16
Lattice="6.521 0.853 0.000 0.881 6.518 0.000 0.000 0.000 10.270" Properties=species:S:1:pos:R:3 pbc="T T T"
Ca 2.776 2.764 5.135
Hg 6.477 6.449 0.000
Hg 2.776 2.764 0.000
Hg 6.037 3.191 5.135
Hg 6.037 3.191 0.000
Hg 3.216 6.023 5.135
Hg 3.216 6.023 0.000
Hg 4.269 1.265 2.478
Hg 4.269 1.265 7.792
Hg 1.283 4.264 2.478
Hg 1.283 4.264 7.792
Hg 4.483 4.464 2.568
Hg 4.483 4.464 7.702
Hg 1.069 1.064 2.568
Hg 1.069 1.064 7.702
Pb 6.477 6.449 5.135
```

final energy: -0.6949 eV/atom
energy of formation: -7.1 kJ/mol of atoms
crystal system: orthorhombic

***

Record 3
DFT (PBE-GGA) results for an optimized crystal structure of Sr6Cd23Hg.

```
30
Lattice="8.962 0.000 5.174 2.987 8.450 5.174 0.000 0.000 10.349" Properties=species:S:1:pos:R:3 pbc="T T T"
Sr 8.664 6.126 10.349
Sr 3.286 2.323 10.349
Sr 7.320 2.323 8.020
Sr 4.630 6.126 12.678
Sr 7.320 2.323 12.678
Sr 4.630 6.127 8.020
Cd 5.984 1.053 5.174
Cd 5.966 7.397 15.523
Cd 1.489 1.053 7.769
Cd 1.489 1.053 2.580
Cd 10.461 7.397 12.928
Cd 10.461 7.397 18.118
Cd 2.987 5.290 5.174
Cd 8.962 3.159 15.523
Cd 5.975 4.225 5.174
Cd 0.000 0.000 5.174
Cd 4.481 0.000 2.587
Cd 1.494 4.225 7.762
Cd 4.481 0.000 7.762
Cd 1.494 4.225 2.587
Cd 9.943 2.822 10.349
Cd 2.007 5.628 10.349
Cd 3.991 2.822 13.785
Cd 3.991 2.822 6.913
Cd 7.959 5.628 6.913
Cd 7.959 5.628 13.785
Cd 5.975 8.434 10.349
Cd 5.975 0.016 10.349
Cd 0.000 0.000 0.000
Hg 5.975 4.225 10.349
```

final energy: -1.3073 eV/atom
energy of formation: -25.0 kJ/mol of atoms
crystal system: cubic

***

Record 4
DFT (PBE-GGA) results for an optimized crystal structure of Ba2ReTeBr.

```
5
Lattice="-2.314 6.097 0.752 0.484 -0.543 5.892 6.120 2.357 -0.285" Properties=species:S:1:pos:R:3 pbc="T T T"
Re 2.145 3.956 3.179
Te 0.000 0.000 0.000
Ba 3.060 1.179 -0.143
Ba -1.157 3.049 0.376
Br 0.242 -0.271 2.946
```

formation energy (no corrections): 0.67 eV/atom
final energy: -3.5467 eV/atom
crystal system: tetragonal

***

Record 5
DFT (PBE-GGA) results for an optimized crystal structure of TbNd2Y3Te6.

```
12
Lattice="-1.021 -3.468 2.476 7.687 -3.855 -2.229 2.710 6.744 6.685" Properties=species:S:1:pos:R:3 pbc="T T T"
Tb -0.511 -1.734 1.238
Nd 6.043 -0.974 5.005
Nd 3.333 0.394 1.927
Y 3.333 -3.662 0.123
Y 2.210 0.927 6.086
Y 7.165 -1.506 0.845
Te 8.582 -0.206 3.250
Te 4.741 -2.376 2.504
Te 0.794 -0.373 3.682
Te 3.585 2.285 8.556
Te 5.791 -2.865 -1.624
Te 4.635 1.797 4.428
```

formation energy (no corrections): -1.35 eV/atom
final energy: -5.7170 eV/atom
crystal system: monoclinic

***

Record 6
DFT (PBE-GGA) results for an optimized crystal structure of CsCrSeN2.

```
5
Lattice="4.047 0.000 0.000 0.000 4.047 0.000 0.000 0.000 5.057" Properties=species:S:1:pos:R:3 pbc="T T T"
Cs 2.024 2.024 2.529
Cr 0.000 0.000 0.000
Se 0.000 0.000 2.529
N 0.000 2.024 0.000
N 2.024 0.000 0.000
```

formation energy (no corrections): 0.77 eV/atom
final energy: -5.3500 eV/atom
excess energy over the best structure of this formula in the dataset: 0 meV per atom
crystal system: tetragonal